1.
First-principles (GGA-PBEsol) data for a relaxed structure of LaScBe2, as listed in Alexandria via LeMat-Bulk.

The formation enthalpy at 0 K is 48.4 kJ per mole of atoms. The energy above the most stable polymorph in this dataset comes out at 0.057 eV/atom. Its electronic total energy is -0.16486 hartree per atom.

It has space group F-43m (No. 216), with a = 6.583 Å, b = 6.583 Å, c = 6.583 Å, α = 90.00°, β = 90.00° and γ = 90.00°. Symmetry generates all atoms from La at (0.000, 0.000, 0.000), Sc at (0.250, 0.250, 0.750), Be at (0.000, 0.000, 0.500) and Be at (0.250, 0.250, 0.250).

---

2.
First-principles (GGA-PBEsol) data for a relaxed structure of LaScBe, as listed in Alexandria via LeMat-Bulk.

The formation enthalpy at 0 K is 26.3 kJ per mole of atoms. Its electronic total energy is -0.18539 hartree per atom.

It has space group P-6m2 (No. 187), with a = 4.6432 Å, b = 4.6432 Å, c = 3.6886 Å, α = 90.00°, β = 90.00° and γ = 120.00°. Symmetry generates all atoms from La at (0.0000, 0.0000, 0.0000), Sc at (0.6667, 0.3333, 0.5000) and Be at (0.3333, 0.6667, 0.5000).

---

3.
First-principles (GGA-PBEsol) data for a relaxed structure of LaBe3Se, as listed in Alexandria via LeMat-Bulk.

The energy above the most stable polymorph in this dataset comes out at 1.380 eV/atom. Its electronic total energy is -0.08324 hartree per atom. Its formation energy (no corrections) is 1974 meV per atom.

It has space group Pm-3m (No. 221), with a = 4.997 Å, b = 4.997 Å, c = 4.997 Å, α = 90.00°, β = 90.00° and γ = 90.00°. Symmetry generates all atoms from La at (0.000, 0.000, 0.000), Be at (0.000, 0.000, 0.500) and Se at (0.500, 0.500, 0.500).

---

4.
First-principles (GGA-PBEsol) data for a relaxed structure of LaBeSe, as listed in Alexandria via LeMat-Bulk.

The energy above the most stable polymorph in this dataset comes out at 0.156 eV/atom. Its electronic total energy is -0.16720 hartree per atom. Its formation energy (no corrections) is -151 meV per atom.

It has space group F-43m (No. 216), with a = 6.825 Å, b = 6.825 Å, c = 6.825 Å, α = 90.00°, β = 90.00° and γ = 90.00°. Symmetry generates all atoms from La at (0.000, 0.000, 0.000), Be at (0.250, 0.250, 0.750) and Se at (0.250, 0.250, 0.250).

---

5.
First-principles (GGA-PBEsol) data for a relaxed structure of LaBe3Se, as listed in Alexandria via LeMat-Bulk.

The energy above the most stable polymorph in this dataset comes out at 0.000 eV/atom. Its electronic total energy is -0.13396 hartree per atom. Its formation energy (no corrections) is 594 meV per atom.

It has space group Pm-3m (No. 221), with a = 4.468 Å, b = 4.468 Å, c = 4.468 Å, α = 90.00°, β = 90.00° and γ = 90.00°. Symmetry generates all atoms from La at (0.000, 0.000, 0.000), Be at (0.000, 0.500, 0.500) and Se at (0.500, 0.500, 0.500).

---

6.
First-principles (GGA-PBEsol) data for a relaxed structure of LaBeSe, as listed in Alexandria via LeMat-Bulk.

The energy above the most stable polymorph in this dataset comes out at 0.000 eV/atom. Its electronic total energy is -0.17291 hartree per atom. Its formation energy (no corrections) is -306 meV per atom.

It has space group F-43m (No. 216), with a = 6.368 Å, b = 6.368 Å, c = 6.368 Å, α = 90.00°, β = 90.00° and γ = 90.00°. Symmetry generates all atoms from La at (0.000, 0.000, 0.000), Be at (0.250, 0.250, 0.750) and Se at (0.000, 0.000, 0.500).

---

7.
First-principles (GGA-PBEsol) data for a relaxed structure of La2BeSe, as listed in Alexandria via LeMat-Bulk.

The energy above the most stable polymorph in this dataset comes out at 0.073 eV/atom. Its electronic total energy is -0.19515 hartree per atom. Its formation energy (no corrections) is -674 meV per atom.

It has space group Cmmm (No. 65), with a = 6.837 Å, b = 7.730 Å, c = 3.544 Å, α = 90.00°, β = 90.00° and γ = 90.00°. Symmetry generates all atoms from La at (0.250, 0.250, 0.000), Be at (0.000, 0.000, 0.500) and Se at (0.000, 0.500, 0.500).

---

8.
First-principles (GGA-PBEsol) data for a relaxed structure of La2BeSe, as listed in Alexandria via LeMat-Bulk.

The energy above the most stable polymorph in this dataset comes out at 0.753 eV/atom. Its electronic total energy is -0.17018 hartree per atom. Its formation energy (no corrections) is 5 meV per atom.

It has space group F-43m (No. 216), with a = 7.124 Å, b = 7.124 Å, c = 7.124 Å, α = 90.00°, β = 90.00° and γ = 90.00°. Symmetry generates all atoms from La at (0.000, 0.000, 0.000), La at (0.250, 0.250, 0.250), Be at (0.250, 0.250, 0.750) and Se at (0.000, 0.000, 0.500).

---

9.
First-principles (GGA-PBEsol) data for a relaxed structure of La2BeSe, as listed in Alexandria via LeMat-Bulk.

The energy above the most stable polymorph in this dataset comes out at 0.000 eV/atom. Its electronic total energy is -0.19784 hartree per atom. Its formation energy (no corrections) is -748 meV per atom.

It has space group Pmm2 (No. 25), with a = 4.226 Å, b = 6.028 Å, c = 4.250 Å, α = 90.00°, β = 90.00° and γ = 90.00°. Symmetry generates all atoms from La at (0.000, 0.000, 0.000), La at (0.500, 0.500, 0.499), Be at (0.000, 0.500, 0.998) and Se at (0.500, 0.000, 0.500).

---

10.
First-principles (GGA-PBEsol) data for a relaxed structure of LaBeSi2, as listed in Alexandria via LeMat-Bulk.

Its electronic total energy is -0.18493 hartree per atom. Its formation energy (no corrections) is 178 meV per atom.

It has space group F-43m (No. 216), with a = 6.553 Å, b = 6.553 Å, c = 6.553 Å, α = 90.00°, β = 90.00° and γ = 90.00°. Symmetry generates all atoms from La at (0.000, 0.000, 0.000), Be at (0.250, 0.250, 0.750), Si at (0.000, 0.000, 0.500) and Si at (0.250, 0.250, 0.250).

---

11.
First-principles (GGA-PBEsol) data for a relaxed structure of LaBeSi, as listed in Alexandria via LeMat-Bulk.

Its electronic total energy is -0.20565 hartree per atom. Its formation energy (no corrections) is -565 meV per atom.

It has space group P-6m2 (No. 187), with a = 3.9647 Å, b = 3.9647 Å, c = 4.3417 Å, α = 90.00°, β = 90.00° and γ = 120.00°. Symmetry generates all atoms from La at (0.0000, 0.0000, 0.0000), Be at (0.3333, 0.6667, 0.5000) and Si at (0.6667, 0.3333, 0.5000).

---

12.
First-principles (GGA-PBEsol) data for a relaxed structure of La2BeSi, as listed in Alexandria via LeMat-Bulk.

Its electronic total energy is -0.20171 hartree per atom. Its formation energy (no corrections) is -379 meV per atom.

It has space group Amm2 (No. 38), with a = 3.916 Å, b = 4.319 Å, c = 11.107 Å, α = 90.00°, β = 90.00° and γ = 90.00°. Symmetry generates all atoms from La at (0.000, 0.000, 0.000), La at (0.500, 0.000, 0.294), Be at (0.500, 0.000, 0.598) and Si at (0.000, 0.000, 0.703).

---

13.
First-principles (GGA-PBEsol) data for a relaxed structure of LaBe2Si, as listed in Alexandria via LeMat-Bulk.

Its electronic total energy is -0.17979 hartree per atom. Its formation energy (no corrections) is -119 meV per atom.

It has space group I4_1/amd (No. 141, origin choice 2), with a = 4.414 Å, b = 4.414 Å, c = 15.017 Å, α = 90.00°, β = 90.00° and γ = 90.00°. Symmetry generates all atoms from La at (0.000, 0.250, 0.375), Be at (0.000, 0.000, 0.000) and Si at (0.000, 0.250, 0.875).

---

14.
First-principles (GGA-PBEsol) data for a relaxed structure of LaBe2Si, as listed in Alexandria via LeMat-Bulk.

Its electronic total energy is -0.16514 hartree per atom. Its formation energy (no corrections) is 280 meV per atom.

It has space group P4/mmm (No. 123), with a = 4.186 Å, b = 4.186 Å, c = 4.004 Å, α = 90.00°, β = 90.00° and γ = 90.00°. Symmetry generates all atoms from La at (0.000, 0.000, 0.000), Be at (0.000, 0.500, 0.500) and Si at (0.500, 0.500, 0.000).

---

15.
First-principles (GGA-PBEsol) data for a relaxed structure of LaBeSi2, as listed in Alexandria via LeMat-Bulk.

Its electronic total energy is -0.19523 hartree per atom. Its formation energy (no corrections) is -103 meV per atom.

It has space group P4/mmm (No. 123), with a = 3.263 Å, b = 3.263 Å, c = 6.530 Å, α = 90.00°, β = 90.00° and γ = 90.00°. Symmetry generates all atoms from La at (0.000, 0.000, 0.000), Be at (0.000, 0.000, 0.500) and Si at (0.500, 0.500, 0.323).

---

16.
First-principles (GGA-PBEsol) data for a relaxed structure of LaBeSi4, as listed in Alexandria via LeMat-Bulk.

Its electronic total energy is -0.19663 hartree per atom. Its formation energy (no corrections) is 38 meV per atom.

It has space group F-43m (No. 216), with a = 7.393 Å, b = 7.393 Å, c = 7.393 Å, α = 90.00°, β = 90.00° and γ = 90.00°. Symmetry generates all atoms from La at (0.000, 0.000, 0.000), Be at (0.250, 0.250, 0.750) and Si at (0.123, 0.123, 0.377).

---

17.
First-principles (GGA-PBEsol) data for a relaxed structure of Sr4LaBe, as listed in Alexandria via LeMat-Bulk.

The formation enthalpy at 0 K is 80.5 kJ per mole of atoms. Its electronic total energy is -0.07169 hartree per atom.

It has space group F-43m (No. 216), with a = 10.053 Å, b = 10.053 Å, c = 10.053 Å, α = 90.00°, β = 90.00° and γ = 90.00°. Symmetry generates all atoms from Sr at (0.125, 0.125, 0.125), La at (0.250, 0.250, 0.750) and Be at (0.000, 0.000, 0.500).

---

18.
First-principles (GGA-PBEsol) data for a relaxed structure of SrLaBe2, as listed in Alexandria via LeMat-Bulk.

The formation enthalpy at 0 K is 39.6 kJ per mole of atoms. The energy above the most stable polymorph in this dataset comes out at 0.000 eV/atom. Its electronic total energy is -0.12445 hartree per atom.

It has space group Fm-3m (No. 225), with a = 7.248 Å, b = 7.248 Å, c = 7.248 Å, α = 90.00°, β = 90.00° and γ = 90.00°. Symmetry generates all atoms from Sr at (0.000, 0.000, 0.000), La at (0.000, 0.000, 0.500) and Be at (0.250, 0.250, 0.250).

---

19.
First-principles (GGA-PBEsol) data for a relaxed structure of SrLaBe2, as listed in Alexandria via LeMat-Bulk.

The formation enthalpy at 0 K is 46.3 kJ per mole of atoms. The energy above the most stable polymorph in this dataset comes out at 0.070 eV/atom. Its electronic total energy is -0.12189 hartree per atom.

It has space group P4mm (No. 99), with a = 3.156 Å, b = 3.156 Å, c = 8.882 Å, α = 90.00°, β = 90.00° and γ = 90.00°. Symmetry generates all atoms from Sr at (0.000, 0.000, 0.000), La at (0.500, 0.500, 0.604), Be at (0.000, 0.000, 0.353) and Be at (0.500, 0.500, 0.262).

---

20.
First-principles (GGA-PBEsol) data for a relaxed structure of SrLaBe, as listed in Alexandria via LeMat-Bulk.

The formation enthalpy at 0 K is 94.8 kJ per mole of atoms. Its electronic total energy is -0.10092 hartree per atom.

It has space group F-43m (No. 216), with a = 7.010 Å, b = 7.010 Å, c = 7.010 Å, α = 90.00°, β = 90.00° and γ = 90.00°. Symmetry generates all atoms from Sr at (0.000, 0.000, 0.000), La at (0.250, 0.250, 0.750) and Be at (0.250, 0.250, 0.250).